Entry A
The following is a DFT calculation (PBE) of crystalline RbHfF3 at its relaxed geometry.

## Properties
V (Å³/cell): 88.4
M_tot (Bohr magnetons per cell): 1.8
Crystal system: cubic

Unit cell a=4.4551 b=4.4551 c=4.4551 alpha=90.00 beta=90.00 gamma=90.00
Last column: nearest neighbours and their distance in Å.
Fractional positions:
F1 0.0000 0.5000 0.0000  2 Hf 2.23
F2 0.0000 0.0000 0.5000  2 Hf 2.23
F3 0.5000 0.0000 0.0000  2 Hf 2.23
Hf1 0.0000 0.0000 0.0000  6 F 2.23
Rb1 0.5000 0.5000 0.5000  12 F 3.15



Entry B
The following is a DFT calculation (PBE) of crystalline RbHfF3 at its relaxed geometry.

## Properties
V (Å³/cell): 111.7
M_tot (Bohr magnetons per cell): 0.0
Crystal system: cubic

Unit cell a=4.8160 b=4.8160 c=4.8160 alpha=90.00 beta=90.00 gamma=90.00
Last column: nearest neighbours and their distance in Å.
Fractional positions:
Rb1 0.0000 0.0000 0.0000  6 F 2.41
F1 0.5000 0.0000 0.0000  2 Rb 2.41
F2 0.0000 0.5000 0.0000  2 Rb 2.41
F3 0.0000 0.0000 0.5000  2 Rb 2.41
Hf1 0.5000 0.5000 0.5000  12 F 3.41



Ranked by calculated energy, most stable first: entry A, entry B.



Entry A
The following is a DFT calculation (PBE) of crystalline RbHf3F at its relaxed geometry.

## Properties
V (Å³/cell): 136.1
M_tot (Bohr magnetons per cell): 0.0
Crystal system: cubic

Unit cell a=5.1437 b=5.1437 c=5.1437 alpha=90.00 beta=90.00 gamma=90.00
Last column: nearest neighbours and their distance in Å.
Fractional positions:
F1 0.5000 0.5000 0.5000  12 Hf 3.64
Rb1 0.0000 0.0000 0.0000  6 Hf 2.57
Hf1 0.0000 0.5000 0.0000  2 Rb 2.57
Hf2 0.5000 0.0000 0.0000  2 Rb 2.57
Hf3 0.0000 0.0000 0.5000  2 Rb 2.57



Entry B
The following is a DFT calculation (PBE) of crystalline RbHf3F at its relaxed geometry.

## Properties
V (Å³/cell): 112.2
M_tot (Bohr magnetons per cell): 0.4
Crystal system: cubic

Unit cell a=4.8225 b=4.8225 c=4.8225 alpha=90.00 beta=90.00 gamma=90.00
Last column: nearest neighbours and their distance in Å.
Fractional positions:
Hf1 0.5000 0.0000 0.0000  2 F 2.41
Hf2 0.0000 0.5000 0.0000  2 F 2.41
Hf3 0.0000 0.0000 0.5000  2 F 2.41
Rb1 0.5000 0.5000 0.5000  12 Hf 3.41
F1 0.0000 0.0000 0.0000  6 Hf 2.41



Ranked by calculated energy, most stable first: entry B, entry A.



Entry A
The following is a DFT calculation (PBE) of crystalline Rb2HfTlF6 at its relaxed geometry.

## Properties
V (Å³/cell): 241.6
M_tot (Bohr magnetons per cell): 0.0
Crystal system: cubic

Unit cell a=6.9926 b=6.9926 c=6.9908 alpha=59.99 beta=59.99 gamma=90.00
Last column: nearest neighbours and their distance in Å.
Fractional positions:
Rb1 0.2500 0.7500 0.5000  12 F 3.53
Rb2 0.7500 0.2500 0.5000  12 F 3.53
F1 0.2961 0.7039 0.0000  1 Hf 2.02
F2 0.2960 0.2960 0.4080  1 Hf 2.02
F3 0.7040 0.7040 0.5920  1 Hf 2.02
F4 0.7039 0.2961 0.0000  1 Hf 2.02
F5 0.7039 0.7039 0.0000  1 Hf 2.02
F6 0.2961 0.2961 0.0000  1 Hf 2.02
Tl1 0.0000 0.0000 0.0000  6 F 2.93
Hf1 0.5000 0.5000 0.0000  6 F 2.02



Entry B
The following is a DFT calculation (PBE) of crystalline Rb2HfTlF6 at its relaxed geometry.

## Properties
V (Å³/cell): 446.4
M_tot (Bohr magnetons per cell): 0.0
Crystal system: trigonal

Unit cell a=7.2540 b=7.2540 c=10.6541 alpha=70.10 beta=70.10 gamma=60.00
Last column: nearest neighbours and their distance in Å.
Fractional positions:
Tl1 0.6099 0.6099 0.1702  3 F 2.65
Tl2 0.3901 0.3901 0.8298  3 F 2.65
Rb1 0.8690 0.8690 0.3930  6 F 2.96-3.04
Rb2 0.7432 0.7432 0.7703  3 F 2.86
Rb3 0.1310 0.1310 0.6070  6 F 2.96-3.04
Rb4 0.2568 0.2568 0.2297  3 F 2.86
F1 0.3754 0.8385 0.4107  1 Hf 2.13
F2 0.1673 0.7929 0.8724  1 Hf 2.01
F3 0.6246 0.6246 0.5893  1 Hf 2.13
F4 0.8327 0.8327 0.1276  1 Hf 2.01
F5 0.2071 0.8327 0.1276  1 Hf 2.01
F6 0.1615 0.6246 0.5893  1 Hf 2.13
F7 0.1673 0.1673 0.8724  1 Hf 2.01
F8 0.8385 0.3754 0.4107  1 Hf 2.13
F9 0.7929 0.1673 0.8724  1 Hf 2.01
F10 0.8327 0.2071 0.1276  1 Hf 2.01
F11 0.3754 0.3754 0.4107  1 Hf 2.13
F12 0.6246 0.1615 0.5893  1 Hf 2.13
Hf1 0.0000 0.0000 0.0000  6 F 2.01
Hf2 0.5000 0.5000 0.5000  6 F 2.13



Ranked by calculated energy, most stable first: entry B, entry A.



Entry A
The following is a DFT calculation (PBE) of crystalline HfReF2 at its relaxed geometry.

## Properties
V (Å³/cell): 57.2
M_tot (Bohr magnetons per cell): 3.0
Crystal system: cubic

Unit cell a=4.3259 b=4.3259 c=4.3259 alpha=60.00 beta=60.00 gamma=60.00
Last column: nearest neighbours and their distance in Å.
Fractional positions:
Hf1 0.0000 0.0000 0.0000  8 F 2.65
F1 0.7500 0.7500 0.7500  4 Hf 2.65, 4 Re 2.65
F2 0.2500 0.2500 0.2500  4 Hf 2.65, 4 Re 2.65
Re1 0.5000 0.5000 0.5000  8 F 2.65



Entry B
The following is a DFT calculation (PBE) of crystalline HfReF2 at its relaxed geometry.

## Properties
V (Å³/cell): 53.5
M_tot (Bohr magnetons per cell): 0.0
Crystal system: trigonal

Unit cell a=7.9217 b=7.9217 c=7.9217 alpha=20.53 beta=20.53 gamma=20.53
Last column: nearest neighbours and their distance in Å.
Fractional positions:
F1 0.9040 0.9040 0.9040  1 Re 2.23, 3 Hf 2.31
F2 0.0960 0.0960 0.0960  1 Re 2.23, 3 Hf 2.31
Hf1 0.5000 0.5000 0.5000  6 F 2.31
Re1 0.0000 0.0000 0.0000  2 F 2.23



Ranked by calculated energy, most stable first: entry B, entry A.